[1]
# SmTmP

A geometry-optimized SmTmP structure (GGA-PBE, the Open Quantum Materials Database).

Unit cell a=4.565 b=4.565 c=5.331 alpha=90.00 beta=90.00 gamma=90.00
Fractional positions:
Sm (0.000, 0.000, 0.000)
Tm (0.500, 0.500, 0.000)
P (0.000, 0.000, 0.500)

Values from the calculation:
**SG**: P4/mmm
**Raw total energy**: -4.1708 eV/atom

[2]
# NiBOsPd

A geometry-optimized NiBOsPd structure (GGA-PBE, the Open Quantum Materials Database).

Unit cell a=4.121 b=4.121 c=4.121 alpha=60.00 beta=60.00 gamma=60.00
Fractional positions:
Ni (0.000, 0.000, 0.000)
B (0.750, 0.750, 0.750)
Os (0.250, 0.250, 0.250)
Pd (0.500, 0.500, 0.500)

Values from the calculation:
**SG**: F-43m
**Polymorph energy (0 for the lowest one)**: 52.3 kJ/mol of atoms

[3]
# Tb3Al2Ni6

A geometry-optimized Tb3Al2Ni6 structure (GGA-PBE, the Open Quantum Materials Database).

Unit cell a=7.722 b=7.722 c=7.722 alpha=109.47 beta=109.47 gamma=109.47
Fractional positions:
Tb (0.000, 0.292, 0.292)
Tb (0.000, 0.708, 0.708)
Tb (0.292, 0.000, 0.292)
Tb (0.292, 0.292, 0.000)
Tb (0.708, 0.000, 0.708)
Tb (0.708, 0.708, 0.000)
Al (0.000, 0.000, 0.500)
Al (0.000, 0.500, 0.000)
Al (0.500, 0.000, 0.000)
Al (0.500, 0.500, 0.500)
Ni (0.000, 0.335, 0.665)
Ni (0.000, 0.665, 0.335)
Ni (0.330, 0.665, 0.665)
Ni (0.335, 0.000, 0.665)
Ni (0.335, 0.335, 0.670)
Ni (0.335, 0.665, 0.000)
Ni (0.335, 0.670, 0.335)
Ni (0.665, 0.000, 0.335)
Ni (0.665, 0.330, 0.665)
Ni (0.665, 0.335, 0.000)
Ni (0.665, 0.665, 0.330)
Ni (0.670, 0.335, 0.335)

Values from the calculation:
**SG**: Im-3m
**Raw total energy**: -5.5386 eV/atom

[4]
# KHoCdS3

A geometry-optimized KHoCdS3 structure (GGA-PBE, the Open Quantum Materials Database).

Unit cell a=8.233 b=4.101 c=10.189 alpha=90.00 beta=108.01 gamma=90.00
Fractional positions:
K (0.243, 0.250, 0.256)
K (0.757, 0.750, 0.744)
Ho (0.319, 0.750, 0.871)
Ho (0.681, 0.250, 0.129)
Cd (0.085, 0.250, 0.613)
Cd (0.915, 0.750, 0.387)
S (0.089, 0.250, 0.858)
S (0.238, 0.750, 0.558)
S (0.464, 0.750, 0.142)
S (0.536, 0.250, 0.858)
S (0.762, 0.250, 0.442)
S (0.911, 0.750, 0.142)

Values from the calculation:
**SG**: P2_1/m
**Polymorph energy (0 for the lowest one)**: 0.7 kJ/mol of atoms

What is the formula in the first record? SmTmP

What did the second record say?
# NiBOsPd

A geometry-optimized NiBOsPd structure (GGA-PBE, the Open Quantum Materials Database).

Unit cell a=4.121 b=4.121 c=4.121 alpha=60.00 beta=60.00 gamma=60.00
Fractional positions:
Ni (0.000, 0.000, 0.000)
B (0.750, 0.750, 0.750)
Os (0.250, 0.250, 0.250)
Pd (0.500, 0.500, 0.500)

Values from the calculation:
**SG**: F-43m
**Polymorph energy (0 for the lowest one)**: 52.3 kJ/mol of atoms